{"formula": "BaWO2", "functional": "PBE+U", "state": "optimized geometry", "de_polymorph_ev_per_fu": 1.72, "spacegroup": "I-42d, No. 122", "lattice": [[4.983, 0.000, 0.000], [0.000, 4.983, 0.000], [2.491, 2.491, 6.297]], "species": ["O", "O", "O", "O", "Ba", "Ba", "W", "W"], "frac_coords": [[0.775, 0.125, 0.250], [0.975, 0.625, 0.250], [0.375, 0.225, 0.750], [0.875, 0.025, 0.750], [0.500, 0.500, 0.000], [0.250, 0.750, 0.500], [0.000, 0.000, 0.000], [0.750, 0.250, 0.500]]}

{"formula": "BaWO3", "functional": "PBE+U", "state": "optimized geometry", "spacegroup": "Pm-3m, No. 221", "energy_ev_per_atom": -7.11, "lattice": [[-0.437, -2.433, 3.352], [1.258, -3.290, -2.223], [3.947, 0.779, 1.080]], "species": ["O", "O", "O", "Ba", "W"], "frac_coords": [[0.000, 0.500, 0.000], [0.000, 0.000, 0.500], [0.500, 0.000, 0.000], [0.500, 0.500, 0.500], [0.000, 0.000, 0.000]]}

{"formula": "Ba5W2O12", "functional": "PBE+U", "state": "optimized geometry", "spacegroup": "C2/m, No. 12", "energy_ev_per_atom": -6.63, "lattice": [[-4.005, 7.851, -0.664], [-7.033, 4.438, 5.643], [-1.651, 7.276, 6.734]], "species": ["Ba", "Ba", "Ba", "Ba", "Ba", "W", "W", "O", "O", "O", "O", "O", "O", "O", "O", "O", "O", "O", "O"], "frac_coords": [[0.024, 0.309, 0.309], [0.554, 0.303, 0.303], [0.500, 0.000, 0.000], [0.446, 0.697, 0.697], [0.976, 0.691, 0.691], [0.000, 0.754, 0.246], [0.000, 0.246, 0.754], [0.147, 0.001, 0.001], [0.210, 0.116, 0.607], [0.210, 0.607, 0.116], [0.725, 0.107, 0.585], [0.725, 0.585, 0.107], [0.851, 0.501, 0.501], [0.149, 0.499, 0.499], [0.275, 0.893, 0.415], [0.275, 0.415, 0.893], [0.790, 0.884, 0.393], [0.790, 0.393, 0.884], [0.853, 0.999, 0.999]]}

{"formula": "Ba3WO6", "functional": "PBE+U", "state": "optimized geometry", "spacegroup": "P-1, No. 2", "energy_ev_per_atom": -6.86, "lattice": [[-4.116, -2.700, -3.710], [0.919, -5.734, 3.168], [-6.451, 1.734, 5.924]], "species": ["Ba", "Ba", "Ba", "Ba", "Ba", "Ba", "W", "W", "O", "O", "O", "O", "O", "O", "O", "O", "O", "O", "O", "O"], "frac_coords": [[0.491, 0.394, 0.949], [0.997, 0.992, 0.480], [0.996, 0.033, 0.017], [0.490, 0.435, 0.486], [0.997, 0.506, 0.228], [0.489, 0.921, 0.738], [0.498, 0.990, 0.245], [0.988, 0.437, 0.722], [0.438, 0.978, 0.027], [0.722, 0.594, 0.733], [0.320, 0.757, 0.294], [0.243, 0.252, 0.710], [0.049, 0.449, 0.939], [0.931, 0.394, 0.510], [0.805, 0.190, 0.775], [0.556, 0.033, 0.456], [0.682, 0.237, 0.191], [0.167, 0.670, 0.672], [0.244, 0.175, 0.256], [0.765, 0.833, 0.234]]}